A relaxed Na2Tl8Cd3 crystal, computed with PBE-GGA.

extended XYZ file:
```
13
Lattice="6.932 -4.363 0.000 6.932 4.363 0.000 -1.039 0.000 6.437" Properties=species:S:1:pos:R:3 pbc="T T T"
Na 2.492 0.000 1.769
Na 10.332 0.000 4.669
Tl 1.895 0.000 5.102
Tl 4.726 1.637 3.698
Tl 5.523 0.000 0.764
Tl 8.099 1.637 2.739
Tl 4.726 -1.637 3.698
Tl 7.302 0.000 5.673
Tl 8.099 -1.637 2.739
Tl 10.930 0.000 1.336
Cd -0.519 0.000 3.219
Cd 6.932 2.870 0.000
Cd 6.932 -2.870 0.000
```

The calculation puts the magnetization at 0.0 μB per formula unit. The polymorph energy (0 for the lowest one) is 17 meV per atom. Its symmetry is C2/m (12). The total energy is -24.07 eV per cell. For the density of states at the Fermi level, the calculation gives 0.475 states/eV/atom.


A relaxed Na4Tl5Cd3 crystal, computed with PBE-GGA.

extended XYZ file:
```
12
Lattice="8.803 -2.746 0.000 8.803 2.746 0.000 -2.326 0.000 7.479" Properties=species:S:1:pos:R:3 pbc="T T T"
Na 0.664 0.000 3.218
Na 0.802 0.000 6.857
Na 14.478 0.000 0.622
Na 14.616 0.000 4.261
Tl 0.000 0.000 0.000
Tl 4.082 0.000 2.596
Tl 3.913 0.000 5.823
Tl 11.367 0.000 1.656
Tl 11.197 0.000 4.883
Cd 7.130 0.000 2.385
Cd 8.803 0.000 0.000
Cd 8.150 0.000 5.094
```

The calculation puts the magnetization at 0.0 μB per formula unit. Its symmetry is C2/m (12). The total energy is -20.07 eV per cell. For the density of states at the Fermi level, the calculation gives 0.329 states/eV/atom.


A relaxed Na3Tl7Cd crystal, computed with PBE-GGA.

extended XYZ file:
```
11
Lattice="5.805 -5.732 0.000 5.805 5.732 0.000 -2.858 0.000 5.036" Properties=species:S:1:pos:R:3 pbc="T T T"
Na 0.000 0.000 0.000
Na 4.376 3.168 2.518
Na 4.376 -3.168 2.518
Tl 1.442 2.989 4.177
Tl 0.279 0.000 3.458
Tl 7.310 2.989 0.859
Tl 4.376 0.000 2.518
Tl 1.442 -2.989 4.177
Tl 8.473 0.000 1.578
Tl 7.310 -2.989 0.859
Cd 5.805 0.000 0.000
```

The calculation puts the magnetization at 0.0 μB per formula unit. Its symmetry is C2/m (12). The total energy is -21.43 eV per cell. For the density of states at the Fermi level, the calculation gives 0.450 states/eV/atom.


A relaxed Na2TlCd4 crystal, computed with PBE-GGA.

extended XYZ file:
```
7
Lattice="-2.823 2.823 8.118 2.823 -2.823 8.118 2.823 2.823 -8.118" Properties=species:S:1:pos:R:3 pbc="T T T"
Na 0.000 0.000 1.925
Na 0.000 0.000 14.311
Tl 0.000 0.000 8.118
Cd 2.823 0.000 0.000
Cd 0.000 0.000 4.977
Cd 0.000 2.823 0.000
Cd 0.000 0.000 11.259
```

The calculation puts the magnetization at 0.0 μB per formula unit. The polymorph energy (0 for the lowest one) is 219 meV per atom. Its symmetry is I4/mmm (139). The total energy is -7.21 eV per cell. For the density of states at the Fermi level, the calculation gives 0.474 states/eV/atom.


A relaxed Na8Tl2Cd3 crystal, computed with PBE-GGA.

extended XYZ file:
```
13
Lattice="8.049 -4.334 0.000 8.049 4.334 0.000 -0.001 0.000 5.739" Properties=species:S:1:pos:R:3 pbc="T T T"
Na 1.702 0.000 5.739
Na 6.298 1.662 2.868
Na 5.022 0.000 5.736
Na 9.800 1.662 2.871
Na 6.298 -1.662 2.868
Na 11.076 0.000 0.003
Na 9.800 -1.662 2.871
Na 14.395 0.000 0.000
Tl 3.398 0.000 2.866
Tl 12.699 0.000 2.873
Cd -0.001 0.000 2.870
Cd 8.049 1.474 0.000
Cd 8.049 -1.474 0.000
```

The calculation puts the magnetization at 0.0 μB per formula unit. Its symmetry is C2/m (12). The total energy is -18.41 eV per cell. For the density of states at the Fermi level, the calculation gives 0.383 states/eV/atom.


A relaxed Na7TlCd4 crystal, computed with PBE-GGA.

extended XYZ file:
```
12
Lattice="5.439 0.000 0.000 -2.720 4.710 0.000 0.000 0.000 13.057" Properties=species:S:1:pos:R:3 pbc="T T T"
Na 0.000 0.000 0.000
Na 0.000 0.000 3.343
Na 0.000 0.000 9.714
Na 0.000 3.140 1.962
Na 0.000 3.140 5.498
Na 2.720 1.570 7.559
Na 2.720 1.570 11.095
Tl 0.000 0.000 6.529
Cd 0.000 3.140 8.756
Cd 0.000 3.140 11.776
Cd 2.720 1.570 1.282
Cd 2.720 1.570 4.302
```

The calculation puts the magnetization at 0.0 μB per formula unit. The polymorph energy (0 for the lowest one) is 0 meV per atom. Its symmetry is P-3m1 (164). The total energy is -15.98 eV per cell. For the density of states at the Fermi level, the calculation gives 0.426 states/eV/atom.


A relaxed Na2TlVCd crystal, computed with PBE-GGA.

extended XYZ file:
```
5
Lattice="5.692 0.000 0.000 0.000 5.692 0.000 0.000 0.000 5.419" Properties=species:S:1:pos:R:3 pbc="T T T"
Na 0.000 2.846 0.000
Na 2.846 0.000 0.000
Tl 0.000 0.000 2.709
V 0.000 0.000 0.000
Cd 2.846 2.846 2.709
```

The calculation puts the magnetization at 4.6 μB per formula unit. Its symmetry is P4/mmm (123). The total energy is -11.24 eV per cell. For the density of states at the Fermi level, the calculation gives 0.750 states/eV/atom.


A relaxed Na2TmCd6 crystal, computed with PBE-GGA.

extended XYZ file:
```
9
Lattice="8.740 0.000 0.000 -4.370 7.569 0.000 0.000 0.000 3.314" Properties=species:S:1:pos:R:3 pbc="T T T"
Na 0.000 5.046 0.000
Na 4.370 2.523 0.000
Tm 0.000 0.000 0.000
Cd -1.459 2.527 1.657
Cd -2.911 5.042 1.657
Cd 2.918 0.000 1.657
Cd 1.459 2.527 1.657
Cd 5.822 0.000 1.657
Cd 2.911 5.042 1.657
```

The calculation puts the magnetization at 0.0 μB per formula unit. Its symmetry is P6/mmm (191). The total energy is -14.04 eV per cell. For the density of states at the Fermi level, the calculation gives 0.515 states/eV/atom.


Results for energy relative to the elements: 18, -18, 0, 208, -29, -60, 759, -159 (in meV/atom, following the order of the records).